(A)
This record from Alexandria via LeMat-Bulk describes an optimized crystal structure of ScIn2Cu2. The functional is PBE-GGA.

Properties
Spin magnetization, μB/cell: 0.00

abc: 7.328 7.328 3.504
angles: 90.00 90.00 90.00
Sites, in units of the cell vectors:
Sc 0.000 0.000 0.000
Sc 0.500 0.500 0.000
In 0.180 0.320 0.500
In 0.320 0.820 0.500
In 0.680 0.180 0.500
In 0.820 0.680 0.500
Cu 0.119 0.619 0.000
Cu 0.381 0.119 0.000
Cu 0.619 0.881 0.000
Cu 0.881 0.381 0.000

(B)
This record from Alexandria via LeMat-Bulk describes an optimized crystal structure of ScIn2Cu2. The functional is PBE-GGA.

Properties
Spin magnetization, μB/cell: 1.58

abc: 7.869 7.869 3.058
angles: 90.00 90.00 90.00
Sites, in units of the cell vectors:
Sc 0.000 0.000 0.000
Sc 0.500 0.500 0.000
In 0.136 0.364 0.000
In 0.364 0.864 0.000
In 0.636 0.136 0.000
In 0.864 0.636 0.000
Cu 0.165 0.665 0.500
Cu 0.335 0.165 0.500
Cu 0.665 0.835 0.500
Cu 0.835 0.335 0.500

Stability, descending: (A), (B)

(A)
This record from Alexandria via LeMat-Bulk describes an optimized crystal structure of ScIn2Cu2. The functional is PBE-GGA.

Properties
Spin magnetization, μB/cell: 0.00

abc: 6.318 6.318 6.318
angles: 141.25 141.25 55.96
Sites, in units of the cell vectors:
Sc 0.000 0.000 0.000
In 0.250 0.750 0.500
In 0.750 0.250 0.500
Cu 0.397 0.397 0.000
Cu 0.603 0.603 0.000

(B)
This record from Alexandria via LeMat-Bulk describes an optimized crystal structure of ScIn2Cu2. The functional is PBE-GGA.

Properties
Spin magnetization, μB/cell: 0.00

abc: 6.924 6.924 6.924
angles: 147.06 147.06 47.27
Sites, in units of the cell vectors:
Sc 0.000 0.000 0.000
In 0.388 0.388 0.000
In 0.612 0.612 0.000
Cu 0.250 0.750 0.500
Cu 0.750 0.250 0.500

Stability, descending: (A), (B)

(A)
This record from Alexandria via LeMat-Bulk describes an optimized crystal structure of Sc3InCu. The functional is PBE-GGA.

Properties
Spin magnetization, μB/cell: 0.00

abc: 4.947 4.947 4.947
angles: 90.00 90.00 90.00
Sites, in units of the cell vectors:
Sc 0.000 0.000 0.500
Sc 0.000 0.500 0.000
Sc 0.500 0.000 0.000
In 0.500 0.500 0.500
Cu 0.000 0.000 0.000

(B)
This record from Alexandria via LeMat-Bulk describes an optimized crystal structure of Sc3InCu. The functional is PBE-GGA.

Properties
Spin magnetization, μB/cell: 1.53

abc: 5.333 5.333 5.333
angles: 90.00 90.00 90.00
Sites, in units of the cell vectors:
Sc 0.000 0.000 0.500
Sc 0.000 0.500 0.000
Sc 0.500 0.000 0.000
In 0.000 0.000 0.000
Cu 0.500 0.500 0.500

Stability, descending: (A), (B)

(A)
This record from Alexandria via LeMat-Bulk describes an optimized crystal structure of ScIn3Cu8. The functional is PBE-GGA.

Properties
Spin magnetization, μB/cell: 0.00

abc: 8.792 8.792 8.792
angles: 33.19 33.19 33.19
Sites, in units of the cell vectors:
Sc 0.000 0.000 0.000
In 0.373 0.373 0.373
In 0.498 0.498 0.498
In 0.877 0.877 0.877
Cu 0.187 0.187 0.187
Cu 0.437 0.437 0.937
Cu 0.437 0.936 0.936
Cu 0.437 0.937 0.437
Cu 0.687 0.687 0.687
Cu 0.936 0.437 0.936
Cu 0.936 0.936 0.437
Cu 0.937 0.437 0.437

(B)
This record from Alexandria via LeMat-Bulk describes an optimized crystal structure of ScIn3Cu8. The functional is PBE-GGA.

Properties
Spin magnetization, μB/cell: 0.00

abc: 5.030 5.030 8.291
angles: 90.00 90.00 120.00
Sites, in units of the cell vectors:
Sc 0.000 0.000 0.000
In 0.000 0.000 0.368
In 0.667 0.333 0.498
In 0.667 0.333 0.878
Cu 0.165 0.329 0.685
Cu 0.165 0.835 0.685
Cu 0.333 0.667 0.435
Cu 0.333 0.667 0.931
Cu 0.501 0.001 0.183
Cu 0.501 0.499 0.183
Cu 0.671 0.835 0.685
Cu 0.999 0.499 0.183

Stability, descending: (A), (B)

(A)
This record from Alexandria via LeMat-Bulk describes an optimized crystal structure of In5CuSe8. The functional is PBE-GGA.

Properties
Spin magnetization, μB/cell: 0.00

abc: 8.060 8.060 8.060
angles: 60.00 60.00 60.00
Sites, in units of the cell vectors:
In 0.000 0.000 0.000
In 0.146 0.618 0.618
In 0.618 0.146 0.618
In 0.618 0.618 0.146
In 0.618 0.618 0.618
Cu 0.250 0.250 0.250
Se 0.377 0.377 0.377
Se 0.377 0.377 0.870
Se 0.377 0.870 0.377
Se 0.404 0.865 0.865
Se 0.865 0.404 0.865
Se 0.865 0.865 0.404
Se 0.865 0.865 0.865
Se 0.870 0.377 0.377

(B)
This record from Alexandria via LeMat-Bulk describes an optimized crystal structure of In5CuSe8. The functional is PBE-GGA.

Properties
Spin magnetization, μB/cell: 0.00

abc: 5.896 5.896 11.772
angles: 90.00 90.00 90.00
Sites, in units of the cell vectors:
In 0.000 0.000 0.000
In 0.000 0.500 0.262
In 0.000 0.500 0.738
In 0.500 0.000 0.262
In 0.500 0.000 0.738
Cu 0.500 0.500 0.500
Se 0.246 0.246 0.605
Se 0.246 0.754 0.395
Se 0.271 0.271 0.117
Se 0.271 0.729 0.883
Se 0.729 0.271 0.883
Se 0.729 0.729 0.117
Se 0.754 0.246 0.395
Se 0.754 0.754 0.605

Stability, descending: (B), (A)

(A)
This record from Alexandria via LeMat-Bulk describes an optimized crystal structure of InCuSe. The functional is PBE-GGA.

Properties
Spin magnetization, μB/cell: 0.00

abc: 4.157 4.157 4.703
angles: 90.00 90.00 120.00
Sites, in units of the cell vectors:
In 0.000 0.000 0.000
Cu 0.333 0.667 0.502
Se 0.667 0.333 0.500

(B)
This record from Alexandria via LeMat-Bulk describes an optimized crystal structure of InCuSe. The functional is PBE-GGA.

Properties
Spin magnetization, μB/cell: 0.00

abc: 4.525 4.525 4.525
angles: 60.00 60.00 60.00
Sites, in units of the cell vectors:
In 0.000 0.000 0.000
Cu 0.250 0.250 0.250
Se 0.500 0.500 0.500

Stability, descending: (A), (B)

(A)
This record from Alexandria via LeMat-Bulk describes an optimized crystal structure of In2Cu2Se. The functional is PBE-GGA.

Properties
Spin magnetization, μB/cell: 0.00

abc: 6.910 6.910 4.117
angles: 90.00 90.00 90.00
Sites, in units of the cell vectors:
In 0.167 0.333 0.000
In 0.333 0.833 0.000
In 0.667 0.167 0.000
In 0.833 0.667 0.000
Cu 0.129 0.629 0.500
Cu 0.371 0.129 0.500
Cu 0.629 0.871 0.500
Cu 0.871 0.371 0.500
Se 0.000 0.000 0.500
Se 0.500 0.500 0.500

(B)
This record from Alexandria via LeMat-Bulk describes an optimized crystal structure of In2Cu2Se. The functional is PBE-GGA.

Properties
Spin magnetization, μB/cell: 0.00

abc: 8.289 8.289 2.836
angles: 90.00 90.00 90.00
Sites, in units of the cell vectors:
In 0.194 0.306 0.000
In 0.306 0.806 0.000
In 0.694 0.194 0.000
In 0.806 0.694 0.000
Cu 0.102 0.602 0.500
Cu 0.398 0.102 0.500
Cu 0.602 0.898 0.500
Cu 0.898 0.398 0.500
Se 0.000 0.000 0.000
Se 0.500 0.500 0.000

Stability, descending: (A), (B)

(A)
This record from Alexandria via LeMat-Bulk describes an optimized crystal structure of InCuTeSe. The functional is PBE-GGA.

Properties
Spin magnetization, μB/cell: 0.00

abc: 4.331 4.331 7.457
angles: 106.93 106.93 59.88
Sites, in units of the cell vectors:
In 0.000 0.000 0.000
Cu 0.492 0.492 0.479
Te 0.132 0.132 0.397
Se 0.612 0.612 0.836

(B)
This record from Alexandria via LeMat-Bulk describes an optimized crystal structure of InCuTeSe. The functional is PBE-GGA.

Properties
Spin magnetization, μB/cell: 0.00

abc: 7.471 7.471 7.471
angles: 132.07 131.81 70.33
Sites, in units of the cell vectors:
In 0.119 0.369 0.750
In 0.381 0.131 0.250
Cu 0.613 0.863 0.750
Cu 0.887 0.637 0.250
Te 0.540 0.250 0.790
Te 0.960 0.750 0.710
Se 0.250 0.527 0.277
Se 0.750 0.973 0.223

Stability, descending: (B), (A)